(1)
The following is a DFT calculation (PBEsol) of a relaxed TaNiOsS2 crystal.

Computed properties:
total moment	1.26	μB per formula unit
energy	-6.79	eV/atom
D(E_F)	1.225	states/eV per atom
density	9.37	Mg/m³

Lattice parameters (Å, degrees): 4.4374 4.4374 4.4468 90.00 90.00 90.00
Positions (direct):
Ta 0.0000 0.0000 0.0000
Ni 0.5000 0.5000 0.0000
Os 0.5000 0.5000 0.5000
S 0.0000 0.5000 0.5000
S 0.5000 0.0000 0.5000



(2)
The following is a DFT calculation (PBEsol) of a relaxed NiSb3Os crystal.

Computed properties:
total moment	0.03	μB per formula unit
energy	-5.30	eV/atom
D(E_F)	1.084	states/eV per atom
density	7.95	Mg/m³

Lattice parameters (Å, degrees): 5.0431 5.0431 5.0431 90.00 90.00 90.00
Positions (direct):
Ni 0.0000 0.0000 0.0000
Sb 0.0000 0.5000 0.5000
Sb 0.5000 0.0000 0.5000
Sb 0.5000 0.5000 0.0000
Os 0.5000 0.5000 0.5000